Entry from Alexandria via LeMat-Bulk: an optimized crystal structure of CeDySn (GGA-PBE).

Output
polymorph energy (0 for the lowest one)	0.0000	eV per atom
DFT formation energy	-0.584	eV/atom
volume	338.01	Å³/cell
Fermi-level density of states	5.200	states/eV/f.u.

a = 4.384 Å, b = 4.384 Å, c = 17.588 Å
α = 90.00°, β = 90.00°, γ = 90.00°
Space group I4/mmm (No. 139)
Inequivalent atoms, fractional coordinates:
Ce 0.000 0.500 0.000 (multiplicity 4)
Dy 0.000 0.000 0.178 (multiplicity 4)
Sn 0.000 0.000 0.359 (multiplicity 4)

Entry from Alexandria via LeMat-Bulk: an optimized crystal structure of CeDySn (GGA-PBE).

Output
polymorph energy (0 for the lowest one)	0.0243	eV per atom
DFT formation energy	-0.560	eV/atom
volume	166.48	Å³/cell
Fermi-level density of states	5.764	states/eV/f.u.

a = 5.4551 Å, b = 5.4551 Å, c = 6.4601 Å
α = 90.00°, β = 90.00°, γ = 120.00°
Space group P6_3/mmc (No. 194)
Inequivalent atoms, fractional coordinates:
Ce 0.0000 0.0000 0.0000 (multiplicity 2)
Dy 0.3333 0.6667 0.2500 (multiplicity 2)
Sn 0.3333 0.6667 0.7500 (multiplicity 2)

Entry from Alexandria via LeMat-Bulk: an optimized crystal structure of CeDySnTe (GGA-PBE).

Output
E_form (uncorrected)	-386	kJ/mol of formula units
volume	374.00	Å³/cell
Fermi-level density of states	6.936	states/eV/f.u.

a = 4.4499 Å, b = 4.4499 Å, c = 21.8096 Å
α = 90.00°, β = 90.00°, γ = 120.00°
Space group R3m (No. 160, hexagonal axes)
Inequivalent atoms, fractional coordinates:
Ce 0.0000 0.0000 0.0000 (multiplicity 3)
Dy 0.0000 0.0000 0.5063 (multiplicity 3)
Sn 0.0000 0.0000 0.2513 (multiplicity 3)
Te 0.0000 0.0000 0.7559 (multiplicity 3)

Entry from Alexandria via LeMat-Bulk: an optimized crystal structure of CeDyThSn (GGA-PBE).

Output
DFT formation energy	-0.145	eV/atom
volume	456.95	Å³/cell
Fermi-level density of states	8.971	states/eV/f.u.

a = 7.702 Å, b = 7.702 Å, c = 7.702 Å
α = 90.00°, β = 90.00°, γ = 90.00°
Space group F-43m (No. 216)
Inequivalent atoms, fractional coordinates:
Ce 0.000 0.000 0.000 (multiplicity 4)
Dy 0.000 0.000 0.500 (multiplicity 4)
Th 0.250 0.250 0.250 (multiplicity 4)
Sn 0.250 0.250 0.750 (multiplicity 4)

Question: Which of these has the lowest volume?
Answer: number 2